BaLa3: optimized geometry, PBE-GGA.

Properties
The volume comes out at 40.395 Å³ per atom. As for the calculated density: 5.694 g/cm³. The calculated formation energy comes out at 3.7 kcal/mol of atoms. As for the total energy: -16.07 eV/cell. As for the relative energy among the computed polymorphs: 75 meV per atom. The calculation puts the spin magnetization at 0.00 μB/cell.

Cell: 6.662 6.662 6.662 Å, 131.68 131.68 70.74°
Atoms (fractional coordinates):
Ba 0.000 0.000 0.000
La 0.250 0.750 0.500
La 0.500 0.500 0.000
La 0.750 0.250 0.500